# 1
Computed, not measured: a geometry-optimized Cu2ReS4 structure at the PBE-GGA level of DFT.

Results
- space group = P-42m
- magnetization (μB/cell) = 1.03
- formation energy (no corrections) (eV/atom) = -0.23
- DOS(E_F) (states/eV/f.u.) = 4.062
- mass density (Mg/m³) = 4.305

a = 5.6795 Å, b = 5.4763 Å, c = 5.4763 Å
α = 90.00°, β = 90.00°, γ = 90.00°
Each line ends with the local moment (μB).
Atoms (fractional coordinates):
Re 0.0000 0.0000 0.0000  0.62
S 0.2262 0.7641 0.2359  0.03
S 0.2262 0.2359 0.7641  0.03
Cu 0.0000 0.5000 0.0000  0.06
Cu 0.0000 0.0000 0.5000  0.06
S 0.7738 0.2359 0.2359  0.03
S 0.7738 0.7641 0.7641  0.03

---

# 2
Computed, not measured: a geometry-optimized Cu3ReS structure at the PBE-GGA level of DFT.

Results
- space group = Pm-3m
- magnetization (μB/cell) = 0.00
- ΔE to the lowest computed polymorph (meV per atom) = 0
- formation energy (no corrections) (eV/atom) = 1.13
- DOS(E_F) (states/eV/f.u.) = 5.691
- mass density (Mg/m³) = 9.103

a = 4.2096 Å, b = 4.2096 Å, c = 4.2096 Å
α = 90.00°, β = 90.00°, γ = 90.00°
Atoms (fractional coordinates):
Cu 0.5000 0.0000 0.0000
Cu 0.0000 0.5000 0.0000
S 0.0000 0.0000 0.0000
Cu 0.0000 0.0000 0.5000
Re 0.5000 0.5000 0.5000

---

# 3
Computed, not measured: a geometry-optimized Cu2ReS structure at the PBE-GGA level of DFT.

Results
- space group = I-42d
- magnetization (μB/cell) = 1.19
- formation energy (no corrections) (eV/atom) = 0.56
- DOS(E_F) (states/eV/f.u.) = 3.097
- mass density (Mg/m³) = 10.223

a = 6.9745 Å, b = 6.9745 Å, c = 5.4444 Å
α = 50.17°, β = 50.17°, γ = 90.00°
Each line ends with the local moment (μB).
Atoms (fractional coordinates):
Re 0.0000 0.0000 0.0000  0.52
S 0.5000 0.5000 0.0000  0.01
Cu 0.3750 0.4106 0.7500  0.01
Cu 0.8750 0.8394 0.7500  0.01
Re 0.7500 0.2500 0.5000  0.52
S 0.2500 0.7500 0.5000  0.01
Cu 0.1606 0.6250 0.2500  0.01
Cu 0.5894 0.1250 0.2500  0.01

---

# 4
Computed, not measured: a geometry-optimized Cu3ReS4 structure at the PBE-GGA level of DFT.

Results
- space group = Pmn2_1
- magnetization (μB/cell) = 0.00
- formation energy (no corrections) (eV/atom) = -0.20
- DOS(E_F) (states/eV/f.u.) = 4.885
- mass density (Mg/m³) = 5.699

a = 6.1644 Å, b = 6.4367 Å, c = 7.4185 Å
α = 90.00°, β = 90.00°, γ = 90.00°
Atoms (fractional coordinates):
Cu 0.9955 0.6640 0.7496
Cu 0.4970 0.8492 0.0000
S 0.1237 0.3292 0.2508
S 0.6237 0.6708 0.2492
Cu 0.4955 0.3360 0.2496
S 0.6232 0.1641 0.5000
S 0.6455 0.1799 0.0000
S 0.6237 0.6708 0.7508
Re 0.0110 0.1667 0.0000
Cu 0.9970 0.1508 0.5000
Cu 0.4955 0.3360 0.7504
Cu 0.9955 0.6640 0.2504
S 0.1455 0.8201 0.5000
S 0.1232 0.8359 0.0000
Re 0.5110 0.8333 0.5000
S 0.1237 0.3292 0.7492

---

# 5
Computed, not measured: a geometry-optimized Cu3ReS structure at the PBE-GGA level of DFT.

Results
- space group = Pm-3m
- magnetization (μB/cell) = 0.00
- ΔE to the lowest computed polymorph (meV per atom) = 590
- formation energy (no corrections) (eV/atom) = 1.72
- DOS(E_F) (states/eV/f.u.) = 5.005
- mass density (Mg/m³) = 6.691

a = 4.6643 Å, b = 4.6643 Å, c = 4.6643 Å
α = 90.00°, β = 90.00°, γ = 90.00°
Atoms (fractional coordinates):
Cu 0.5000 0.0000 0.0000
Re 0.0000 0.0000 0.0000
Cu 0.0000 0.0000 0.5000
S 0.5000 0.5000 0.5000
Cu 0.0000 0.5000 0.0000

---

# 6
Computed, not measured: a geometry-optimized Cu2ReSbS structure at the PBE-GGA level of DFT.

Results
- space group = P4/mmm
- magnetization (μB/cell) = 3.92
- formation energy (no corrections) (eV/atom) = 1.51
- DOS(E_F) (states/eV/f.u.) = 2.576
- mass density (Mg/m³) = 6.512

a = 4.6910 Å, b = 5.4127 Å, c = 4.6910 Å
α = 90.00°, β = 90.00°, γ = 90.00°
Each line ends with the local moment (μB).
Atoms (fractional coordinates):
Cu 0.5000 0.0000 0.0000  0.05
Re 0.0000 0.5000 0.0000  3.15
S 0.5000 0.5000 0.5000  -0.03
Sb 0.0000 0.0000 0.0000  0.00
Cu 0.0000 0.0000 0.5000  0.07